Record 1
Zn3Cu5Au: optimized geometry, PBE.

Summary:
Raw total energy: -2.898 eV per atom
Crystal system: monoclinic
Symmetry: C2/m (12)
Energy of formation: 166 meV per atom

a b c (Å): 5.175 5.175 10.519
angles (deg): 83.79 83.79 79.92
Positions (direct):
Zn1 0.750 0.750 0.872
Zn2 0.491 0.491 0.300
Cu1 0.993 0.584 0.666
Cu2 0.287 0.287 0.884
Cu3 0.007 0.416 0.334
Au1 0.939 0.939 0.267
Zn3 0.250 0.250 0.128
Cu4 0.713 0.713 0.116
Cu5 0.584 0.993 0.666
Cu6 0.676 0.676 0.482
Zn4 0.509 0.509 0.700
Au2 0.061 0.061 0.733
Cu7 0.669 0.331 0.000
Zn5 0.000 0.000 0.000
Zn6 0.000 0.000 0.500
Cu8 0.331 0.669 0.000
Cu9 0.416 0.007 0.334
Cu10 0.324 0.324 0.518

Record 2
ThNbBi: optimized geometry, PBE.

Summary:
Raw total energy: -7.157 eV per atom
Crystal system: tetragonal
Symmetry: P4/nmm (129)
Energy of formation: -33 meV per atom

a b c (Å): 3.462 3.462 14.209
angles (deg): 90.00 90.00 90.00
Positions (direct):
Bi1 0.500 0.000 0.383
Bi2 0.000 0.500 0.617
Nb1 0.000 0.500 0.954
Th1 0.000 0.500 0.201
Th2 0.500 0.000 0.799
Nb2 0.500 0.000 0.046

Record 3
Pm3Zn4Cd2: optimized geometry, PBE.

Summary:
Raw total energy: -2.680 eV per atom
Crystal system: monoclinic
Symmetry: C2/m (12)
Energy of formation: -327 meV per atom

a b c (Å): 4.751 5.919 8.915
angles (deg): 113.78 90.00 113.66
Positions (direct):
Zn1 0.728 0.456 0.054
Zn2 0.944 0.888 0.604
Pm1 0.336 0.673 0.327
Pm2 0.664 0.327 0.673
Pm3 0.000 0.000 0.000
Zn3 0.272 0.544 0.946
Cd1 0.618 0.236 0.284
Zn4 0.056 0.112 0.396
Cd2 0.382 0.764 0.716

Record 4
Ac2DyInPt6: optimized geometry, PBE.

Summary:
Raw total energy: -5.440 eV per atom
Crystal system: cubic
Symmetry: Fm-3m (225)
Energy of formation: -259 meV per atom

a b c (Å): 7.201 7.201 7.201
angles (deg): 60.00 60.00 90.00
Positions (direct):
In1 0.500 0.500 0.000
Pt1 0.748 0.252 0.000
Pt2 0.748 0.748 0.504
Ac1 0.250 0.750 0.500
Ac2 0.750 0.250 0.500
Pt3 0.252 0.748 0.000
Pt4 0.252 0.252 0.000
Pt5 0.748 0.748 0.000
Pt6 0.252 0.252 0.496
Dy1 0.000 0.000 0.000

Question: Look up the energy of formation of the third one.
Answer: -327 meV per atom

Question: Which of these has the highest energy of formation?
Answer: Zn3Cu5Au

Question: Among the records above, which one has the highest raw total energy?
Answer: Pm3Zn4Cd2

Question: energy of formation of number 4 (Ac2DyInPt6)?
Answer: -259 meV per atom